This record from the Alexandria database describes crystalline RbMg2InPb2 at its relaxed geometry. The functional is PBE.

Cell lengths 8.188, 10.740, 5.158 Å; angles 90.00, 90.00, 90.00 degrees
Space group Pnnm (No. 58)
Asymmetric unit:
Rb 0.000 0.000 0.000
Mg 0.086 0.276 0.500
In 0.000 0.500 0.000
Pb 0.246 0.306 0.000

This record from the Alexandria database describes crystalline Rb2MgInPb6 at its relaxed geometry. The functional is PBE.

Cell lengths 7.9658, 7.9658, 41.8421 Å; angles 90.00, 90.00, 120.00 degrees
Space group R-3m (No. 166, hexagonal axes)
Asymmetric unit:
Rb 0.0000 0.0000 0.1409
Rb 0.0000 0.0000 0.3116
Mg 0.0000 0.0000 0.4207
In 0.0000 0.0000 0.0000
In 0.0000 0.0000 0.5000
Pb 0.0551 0.5276 0.7273
Pb 0.0601 0.5301 0.8868

Formation energy from the elements, record by record: 0.0999; 0.0107 eV/atom